# La2NbSi (PBE-GGA, optimized geometry)
# Energy relative to the elements, uncorrected, eV/atom: 0.345
# N(E_F), states/eV/atom: 0.9154
# Magnetization, μB per cell: 3.7
data_La2NbSi
_cell_length_a 8.720
_cell_length_b 8.720
_cell_length_c 5.546
_cell_angle_alpha 90.00
_cell_angle_beta 90.00
_cell_angle_gamma 90.00
_space_group_name_H-M_alt 'I -4 2 d'
_space_group_IT_number 122
_space_group_name_Hall 'I -4 2bw'
loop_
_atom_site_label
_atom_site_type_symbol
_atom_site_fract_x
_atom_site_fract_y
_atom_site_fract_z
La1 La 0.205 0.250 0.125
Nb1 Nb 0.000 0.000 0.500
Si1 Si 0.000 0.000 0.000